A plane-wave DFT calculation with PBEsol was carried out for BeTcAs3 after structural relaxation.

Lattice parameters (Å, degrees): 4.347 4.347 4.347 90.00 90.00 90.00
Fractional positions:
Be (0.000, 0.000, 0.000)
As (0.000, 0.500, 0.000)
As (0.000, 0.000, 0.500)
As (0.500, 0.000, 0.000)
Tc (0.500, 0.500, 0.500)

* total DFT energy (no corrections): -5.20 eV/atom
* density of states at the Fermi level: 3.95 states/eV per cell
* density: 6.71 Mg/m³
* calculated volume: 82 Å³/f.u.